# Sc2VCuO6, relaxed, DFT PBE+U
# - V (Å³ per cell) = 346
# - uncorrected energy (eV per atom) = -7.833
data_Sc2VCuO6
_chemical_formula_sum 'Sc6 V3 Cu3 O18'
_space_group_name_H-M_alt 'R 3'
_space_group_IT_number 146
_space_group_name_Hall 'R 3'
_cell_length_a 5.2532
_cell_length_b 5.2532
_cell_length_c 14.4902
_cell_angle_alpha 90.00
_cell_angle_beta 90.00
_cell_angle_gamma 120.00
loop_
_atom_site_label
_atom_site_type_symbol
_atom_site_fract_x
_atom_site_fract_y
_atom_site_fract_z
_atom_site_occupancy
Sc1 Sc 0.0000 0.0000 0.0000 1
Sc2 Sc 0.0000 0.0000 0.4994 1
V1 V 0.0000 0.0000 0.7004 1
Cu1 Cu 0.0000 0.0000 0.2471 1
O1 O 0.0083 0.3142 0.7561 1
O2 O 0.0146 0.7221 0.6031 1